La2Y7Tm2: optimized geometry, GGA-PBE.

POSCAR file:
```
La2Y7Tm2
1.0
5.618 2.172 0.787
0.958 8.612 -0.941
2.428 1.482 8.238
La Y Tm
2 7 2
direct
0.500 0.210 0.790
0.500 0.790 0.210
0.172 0.590 0.064
0.828 0.936 0.410
0.828 0.410 0.936
0.172 0.064 0.590
0.377 0.407 0.407
0.000 0.000 0.000
0.623 0.593 0.593
0.892 0.763 0.763
0.108 0.237 0.237
```

Output
Raw total energy (eV per formula unit): -62.23
Crystal system: monoclinic
Theoretical density (Mg/m³): 5.57
Formation energy (eV/atom): 0.166
Space group: C2/m, No. 12